Below is crystalline CrIn2S4 at its relaxed geometry, with properties calculated at the PBE level.

Calculated values
The formation energy (no corrections) is -262 kJ/mol of formula units.

Unit cell a=6.4220 b=6.4220 c=12.6821 alpha=90.00 beta=90.00 gamma=146.97
Positions (direct):
Cr  0.1111  0.8889  0.7500
Cr  0.8889  0.1111  0.2500
In  0.3651  0.6349  0.5726
In  0.3651  0.6349  0.9274
In  0.6349  0.3651  0.0726
In  0.6349  0.3651  0.4274
S  0.0000  0.0000  0.0000
S  0.0000  0.0000  0.5000
S  0.2807  0.7193  0.1231
S  0.2807  0.7193  0.3769
S  0.4808  0.5192  0.7500
S  0.5192  0.4808  0.2500
S  0.7193  0.2807  0.6231
S  0.7193  0.2807  0.8769